{"formula": "CaReOs", "functional": "PBE", "state": "optimized geometry", "dft_energy_ry_per_atom": -0.5747, "de_polymorph_ev_per_atom": 0.3600, "formation_energy_ev_per_atom": 0.74, "sg": "Fmm2 (42)", "lattice": [[7.5613, -0.0017, 0.0012], [6.8578, 2.7029, 0.0208], [0.7035, -0.8847, 2.5559]], "species": ["Ca", "Re", "Os"], "fractional_positions": [[0.9975, 0.9975, 0.0025], [0.6798, 0.6798, 0.3202], [0.3226, 0.3226, 0.6774]]}